1.
A plane-wave DFT calculation with PBE-GGA was carried out for a relaxed structure of Ce2ThTaN5.

a b c (Å): 3.447 7.793 10.091
angles (deg): 90.00 90.00 102.78
Site moments in Bohr magnetons follow the coordinates.
Sites, in units of the cell vectors:
N (0.095, 0.190, 0.067)  0.00
N (0.301, 0.602, 0.378)  -0.01
N (0.699, 0.398, 0.878)  -0.01
N (0.905, 0.810, 0.567)  0.00
N (0.358, 0.716, 0.991)  -0.01
N (0.642, 0.284, 0.491)  -0.01
N (0.272, 0.544, 0.653)  -0.01
N (0.728, 0.456, 0.153)  -0.01
N (0.484, 0.968, 0.251)  -0.01
N (0.516, 0.032, 0.751)  -0.01
Ce (0.869, 0.738, 0.208)  0.16
Ce (0.856, 0.712, 0.785)  0.37
Ce (0.131, 0.262, 0.708)  0.16
Ce (0.144, 0.288, 0.285)  0.37
Th (0.520, 0.040, 0.988)  0.04
Th (0.480, 0.960, 0.488)  0.04
Ta (0.226, 0.452, 0.003)  0.05
Ta (0.774, 0.548, 0.503)  0.05

Computed properties:
Uncorrected formation energy = -11.24 eV/f.u.
Space group = No. 36

***

2.
A plane-wave DFT calculation with PBE-GGA was carried out for a relaxed structure of Ce2TaTiN6.

a b c (Å): 5.569 5.682 7.903
angles (deg): 90.00 90.10 90.00
Sites, in units of the cell vectors:
N (0.302, 0.699, 0.448)
N (0.600, 0.032, 0.252)
N (0.100, 0.468, 0.752)
N (0.900, 0.532, 0.248)
N (0.400, 0.968, 0.748)
N (0.802, 0.801, 0.948)
N (0.299, 0.698, 0.053)
N (0.198, 0.199, 0.052)
N (0.701, 0.302, 0.947)
N (0.799, 0.802, 0.553)
N (0.698, 0.301, 0.552)
N (0.201, 0.198, 0.447)
Ti (0.500, 0.000, 0.500)
Ti (0.000, 0.500, 0.000)
Ce (0.008, 0.950, 0.249)
Ce (0.508, 0.550, 0.749)
Ce (0.492, 0.450, 0.251)
Ce (0.992, 0.050, 0.751)
Ta (0.500, 0.000, 0.000)
Ta (0.000, 0.500, 0.500)

Computed properties:
Uncorrected formation energy = -12.18 eV/f.u.
Space group = No. 14

***

no.,magnetic moment (μB/f.u.)
1,0.70
2,0.00